1.
VASP calculation (PBE) on an optimized crystal structure of PrYO3.

The structure in POSCAR format:
```
PrYO3
1.0
4.160 0.000 0.000
0.000 5.950 0.000
0.000 -2.975 6.526
Pr Y O
2 2 6
direct
0.000 0.662 0.324 Pr
0.000 0.338 0.676 Pr
0.500 0.119 0.238 Y
0.500 0.881 0.762 Y
0.500 0.268 0.000 O
0.000 0.833 0.666 O
0.500 0.732 0.000 O
0.500 0.500 0.500 O
0.000 0.167 0.334 O
0.500 0.000 0.500 O
```

Values from the calculation:
Crystal system: orthorhombic
Raw formation energy: -2.974 eV per atom
Electronic total energy: -40.99 eV/f.u.

***

2.
VASP calculation (PBE) on an optimized crystal structure of CsNa2ScSb.

The structure in POSCAR format:
```
CsNa2ScSb
1.0
-0.795 1.980 5.665
-5.588 -3.320 0.376
3.003 -4.817 2.104
Cs Sb Sc Na
1 1 1 2
direct
0.000 0.500 0.000 Cs
0.500 0.500 0.500 Sb
0.000 0.000 0.000 Sc
0.000 0.000 0.500 Na
0.500 0.000 0.000 Na
```

Values from the calculation:
Crystal system: tetragonal
Raw formation energy: 0.893 eV per atom
Electronic total energy: -9.48 eV/f.u.